Material: AgRhSe2
Method: DFT, PBEsol
State: relaxed

It has space group Immm (No. 71), with a = 3.418 Å, b = 4.379 Å, c = 10.295 Å, α = 90.00°, β = 90.00° and γ = 90.00°. The distinct sites, in fractional coordinates, are Ag at (0.000, 0.000, 0.000), Rh at (0.000, 0.000, 0.500) and Se at (0.000, 0.500, 0.168).

The total magnetization comes out at 0.0 μB per formula unit. The energy relative to the elements, uncorrected is -62.2 meV per atom. The value obtained for the theoretical density is 7.946 Mg/m³. The value obtained for the final energy is -4.85 eV/atom.

***

Material: Y2ReAsRh
Method: DFT, PBEsol
State: relaxed

It has space group P4/mmm (No. 123), with a = 5.212 Å, b = 5.212 Å, c = 4.425 Å, α = 90.00°, β = 90.00° and γ = 90.00°. The distinct sites, in fractional coordinates, are Y at (0.000, 0.500, 0.000), Re at (0.000, 0.000, 0.500), As at (0.000, 0.000, 0.000) and Rh at (0.500, 0.500, 0.500).

The total magnetization comes out at 0.0 μB per formula unit. The value obtained for the theoretical density is 7.485 Mg/m³. The value obtained for the final energy is -7.57 eV/atom. For the formation energy from the elements, the calculation gives 474.6 meV/atom.

***

- What is the formula in the second record?
  Y2ReAsRh